Compound: Ca2ZnTc
Source: the Alexandria database
Functional: GGA-PBE
Structure: optimized geometry

## Properties
- Calculated formation energy: 0.21 eV/atom
- E_tot: -3.702 eV per atom

Structure (POSCAR):
```
Ca2ZnTc
1.0
-1.766 2.712 -1.234
-2.974 -1.695 0.531
-0.444 3.138 7.532
Ca Tc Zn
2 1 1
Direct
0.000 0.000 0.923
0.500 0.500 0.326
0.000 0.000 0.571
0.500 0.500 0.680
```